## HgMoOF2 (SCAN)

Data for a PBEsol-optimized structure of HgMoOF2.

Output
Energy relative to the elements, uncorrected ... -8.0 eV/f.u.
DOS at the Fermi energy ... 0.9 states/eV/cell
Crystal system ... tetragonal
Total DFT energy (no corrections) ... -24.8635 eV/atom

abc: 4.255 4.255 3.800
angles: 90.00 90.00 90.00
Positions (direct):
Hg1 0.000 0.000 0.000
Mo1 0.500 0.500 0.500
O1 0.500 0.500 0.000
F1 0.000 0.500 0.500
F2 0.500 0.000 0.500